1.
SbP2O8: relaxed, PBE-GGA.

## Properties
crystal system: trigonal

Cell: 5.230 5.230 6.504 Å, 90.00 90.00 120.00°
Element x y z (fractional)
Sb (0.000, 0.000, 0.000)
P (0.333, 0.667, 0.262)
P (0.667, 0.333, 0.738)
O (0.172, 0.345, 0.181)
O (0.172, 0.828, 0.181)
O (0.333, 0.667, 0.495)
O (0.345, 0.172, 0.819)
O (0.655, 0.828, 0.181)
O (0.667, 0.333, 0.505)
O (0.828, 0.172, 0.819)
O (0.828, 0.655, 0.819)

2.
SbP2O7: relaxed, PBE-GGA.

## Properties
crystal system: orthorhombic
offset from the most stable computed form: 1 meV/atom

Cell: 8.143 16.527 8.203 Å, 90.00 90.00 90.00°
Element x y z (fractional)
Sb (0.015, 0.132, 0.000)
Sb (0.017, 0.379, 0.518)
Sb (0.483, 0.879, 0.018)
Sb (0.485, 0.632, 0.500)
Sb (0.515, 0.368, 0.000)
Sb (0.517, 0.121, 0.518)
Sb (0.983, 0.621, 0.018)
Sb (0.985, 0.868, 0.500)
P (0.075, 0.570, 0.638)
P (0.108, 0.811, 0.897)
P (0.109, 0.328, 0.899)
P (0.123, 0.091, 0.611)
P (0.377, 0.591, 0.111)
P (0.391, 0.828, 0.399)
P (0.392, 0.311, 0.397)
P (0.425, 0.070, 0.138)
P (0.575, 0.930, 0.638)
P (0.608, 0.689, 0.897)
P (0.609, 0.172, 0.899)
P (0.623, 0.409, 0.611)
P (0.877, 0.909, 0.111)
P (0.891, 0.672, 0.399)
P (0.892, 0.189, 0.397)
P (0.925, 0.430, 0.138)
O (0.007, 0.327, 0.737)
O (0.024, 0.015, 0.625)
O (0.035, 0.426, 0.294)
O (0.049, 0.409, 0.992)
O (0.052, 0.147, 0.463)
O (0.059, 0.257, 0.006)
O (0.082, 0.719, 0.918)
O (0.120, 0.479, 0.608)
O (0.133, 0.833, 0.721)
O (0.137, 0.145, 0.759)
O (0.201, 0.570, 0.042)
O (0.210, 0.840, 0.367)
O (0.224, 0.623, 0.638)
O (0.245, 0.336, 0.506)
O (0.255, 0.836, 0.006)
O (0.276, 0.123, 0.138)
O (0.290, 0.340, 0.867)
O (0.299, 0.070, 0.542)
O (0.363, 0.645, 0.259)
O (0.367, 0.333, 0.221)
O (0.380, 0.979, 0.108)
O (0.418, 0.219, 0.418)
O (0.441, 0.757, 0.506)
O (0.448, 0.647, 0.963)
O (0.451, 0.909, 0.492)
O (0.465, 0.926, 0.794)
O (0.476, 0.515, 0.125)
O (0.493, 0.827, 0.237)
O (0.507, 0.173, 0.737)
O (0.524, 0.485, 0.625)
O (0.535, 0.074, 0.294)
O (0.549, 0.091, 0.992)
O (0.552, 0.353, 0.463)
O (0.559, 0.243, 0.006)
O (0.582, 0.781, 0.918)
O (0.620, 0.021, 0.608)
O (0.633, 0.667, 0.721)
O (0.637, 0.355, 0.759)
O (0.701, 0.930, 0.042)
O (0.710, 0.660, 0.367)
O (0.724, 0.877, 0.638)
O (0.745, 0.164, 0.506)
O (0.755, 0.664, 0.006)
O (0.776, 0.377, 0.138)
O (0.790, 0.160, 0.867)
O (0.799, 0.430, 0.542)
O (0.863, 0.855, 0.259)
O (0.867, 0.167, 0.221)
O (0.880, 0.521, 0.108)
O (0.918, 0.281, 0.418)
O (0.941, 0.743, 0.506)
O (0.948, 0.853, 0.963)
O (0.951, 0.591, 0.492)
O (0.965, 0.574, 0.794)
O (0.976, 0.985, 0.125)
O (0.993, 0.673, 0.237)

3.
ScSbP2O: relaxed, PBE-GGA.

## Properties
crystal system: tetragonal
offset from the most stable computed form: 0 meV/atom

Cell: 5.150 5.150 3.866 Å, 90.00 90.00 90.00°
Element x y z (fractional)
Sc (0.000, 0.000, 0.000)
Sb (0.500, 0.500, 0.500)
P (0.000, 0.500, 0.000)
P (0.500, 0.000, 0.000)
O (0.000, 0.000, 0.500)

4.
ScSbP2O: relaxed, PBE-GGA.

## Properties
crystal system: tetragonal
offset from the most stable computed form: 239 meV/atom

Cell: 5.034 5.034 3.939 Å, 90.00 90.00 90.00°
Element x y z (fractional)
Sc (0.000, 0.000, 0.000)
Sb (0.500, 0.500, 0.500)
P (0.000, 0.500, 0.500)
P (0.500, 0.000, 0.500)
O (0.500, 0.500, 0.000)

5.
ScSbPO2: relaxed, PBE-GGA.

## Properties
crystal system: tetragonal
offset from the most stable computed form: 0 meV/atom

Cell: 4.017 4.017 5.357 Å, 90.00 90.00 90.00°
Element x y z (fractional)
Sc (0.000, 0.000, 0.000)
Sb (0.500, 0.500, 0.500)
P (0.000, 0.000, 0.500)
O (0.000, 0.500, 0.000)
O (0.500, 0.000, 0.000)

6.
ScSbPO2: relaxed, PBE-GGA.

## Properties
crystal system: tetragonal
offset from the most stable computed form: 189 meV/atom

Cell: 4.014 4.014 5.219 Å, 90.00 90.00 90.00°
Element x y z (fractional)
Sc (0.000, 0.000, 0.000)
Sb (0.500, 0.500, 0.500)
P (0.500, 0.500, 0.000)
O (0.000, 0.500, 0.500)
O (0.500, 0.000, 0.500)

E readings, ordered: -6.56, -6.86, -5.61, -5.37, -6.23, -6.04 eV per atom